! PBE-GGA Zn2Cd2Ag5Ge, relaxed; values from VASP
&SYSTEM
  ibrav = 0, nat = 20, ntyp = 4
/
ATOMIC_SPECIES
Zn 65.41 Zn.upf
Cd 112.41 Cd.upf
Ag 107.87 Ag.upf
Ge 72.64 Ge.upf
CELL_PARAMETERS angstrom
9.548 0.000 0.000
0.000 9.548 0.000
0.000 0.000 4.110
ATOMIC_POSITIONS crystal
Zn 0.124 0.376 0.000
Zn 0.376 0.876 0.000
Zn 0.624 0.124 0.000
Zn 0.876 0.624 0.000
Cd 0.173 0.673 0.000
Cd 0.327 0.173 0.000
Cd 0.673 0.827 0.000
Cd 0.827 0.327 0.000
Ag 0.000 0.500 0.500
Ag 0.080 0.199 0.500
Ag 0.199 0.920 0.500
Ag 0.301 0.420 0.500
Ag 0.420 0.699 0.500
Ag 0.500 0.000 0.500
Ag 0.580 0.301 0.500
Ag 0.699 0.580 0.500
Ag 0.801 0.080 0.500
Ag 0.920 0.801 0.500
Ge 0.000 0.000 0.000
Ge 0.500 0.500 0.000
! E_form, kJ/mol of formula units: 67
! D(E_F), states/eV per atom: 0.398

---

! PBE-GGA Ta2ReSb, relaxed; values from VASP
&SYSTEM
  ibrav = 0, nat = 8, ntyp = 3
/
ATOMIC_SPECIES
Ta 180.95 Ta.upf
Re 186.21 Re.upf
Sb 121.76 Sb.upf
CELL_PARAMETERS angstrom
3.466 0.000 0.000
0.000 4.851 0.000
0.000 0.000 8.732
ATOMIC_POSITIONS crystal
Ta 0.000 0.000 0.236
Ta 0.000 0.000 0.764
Ta 0.500 0.500 0.236
Ta 0.500 0.500 0.764
Re 0.000 0.500 0.000
Re 0.500 0.000 0.000
Sb 0.000 0.500 0.500
Sb 0.500 0.000 0.500
! Uncorrected energy, eV for the cell shown: -78.99
! D(E_F), states/eV per atom: 0.779

---

! PBE-GGA Ge2BiAs2, relaxed; values from VASP
&SYSTEM
  ibrav = 0, nat = 10, ntyp = 3
/
ATOMIC_SPECIES
Ge 72.64 Ge.upf
Bi 208.98 Bi.upf
As 74.92 As.upf
CELL_PARAMETERS angstrom
8.036 0.000 0.000
0.000 8.036 0.000
0.000 0.000 3.499
ATOMIC_POSITIONS crystal
Ge 0.132 0.368 0.000
Ge 0.368 0.868 0.000
Ge 0.632 0.132 0.000
Ge 0.868 0.632 0.000
Bi 0.000 0.000 0.500
Bi 0.500 0.500 0.500
As 0.149 0.649 0.500
As 0.351 0.149 0.500
As 0.649 0.851 0.500
As 0.851 0.351 0.500
! E_form, kJ/mol of formula units: 128
! D(E_F), states/eV per atom: 0.493